No. 1
Crystalline Ac8AgOs2 at its relaxed geometry. Source: Alexandria, functional PBE.

Summary:
- total magnetization (μB/f.u.) = 0.00
- density of states at the Fermi level (states/eV/cell) = 24.94
- VASP energy (eV/atom) = -5.2643

Cell lengths 9.081, 13.850, 6.653 Å; angles 90.00, 105.82, 90.00 degrees
Space group Cm (No. 8)
One atom of each set of equivalent atoms:
Ac  0.000  0.000  0.000
Ac  0.080  0.366  0.800
Ac  0.160  0.135  0.605
Ac  0.249  0.500  0.414
Ac  0.368  0.228  0.204
Ag  0.374  0.000  0.355
Os  0.371  0.306  0.705

***

No. 2
Crystalline Ac5Ag2Os2 at its relaxed geometry. Source: Alexandria, functional PBE.

Summary:
- total magnetization (μB/f.u.) = 0.00
- density of states at the Fermi level (states/eV/cell) = 21.61
- VASP energy (eV/atom) = -5.5133

Cell lengths 16.252, 8.354, 8.282 Å; angles 90.00, 90.00, 90.00 degrees
Space group Cmce (No. 64)
One atom of each set of equivalent atoms:
Ac  0.000  0.000  0.000
Ac  0.121  0.163  0.339
Ag  0.208  0.000  0.000
Os  0.000  0.136  0.636

***

No. 3
Crystalline Ac6AgOs at its relaxed geometry. Source: Alexandria, functional PBE.

Summary:
- total magnetization (μB/f.u.) = 0.00
- density of states at the Fermi level (states/eV/cell) = 37.93
- VASP energy (eV/atom) = -4.7336

Cell lengths 14.647, 11.133, 11.251 Å; angles 90.00, 128.86, 90.00 degrees
Space group C2/m (No. 12)
One atom of each set of equivalent atoms:
Ac  0.031  0.180  0.210
Ac  0.137  0.500  0.444
Ac  0.173  0.177  0.668
Ac  0.243  0.000  0.129
Ag  0.250  0.250  0.000
Os  0.250  0.250  0.500

***

No. 4
Crystalline Ac6Ag3Os at its relaxed geometry. Source: Alexandria, functional PBE.

Summary:
- total magnetization (μB/f.u.) = 0.00
- density of states at the Fermi level (states/eV/cell) = 20.41
- VASP energy (eV/atom) = -4.5832

Cell lengths 7.729, 8.405, 13.079 Å; angles 90.00, 120.64, 90.00 degrees
Space group P2_1/c (No. 14)
One atom of each set of equivalent atoms:
Ac  0.079  0.047  0.243
Ac  0.218  0.693  0.073
Ac  0.373  0.170  0.064
Ag  0.325  0.118  0.770
Ag  0.500  0.000  0.500
Os  0.000  0.000  0.000

***

No. 5
Crystalline Ac4Ag2Os at its relaxed geometry. Source: Alexandria, functional PBE.

Summary:
- total magnetization (μB/f.u.) = 0.00
- density of states at the Fermi level (states/eV/cell) = 10.73
- VASP energy (eV/atom) = -4.9216
- E above lowest polymorph (eV per atom) = 0.0000

Cell lengths 16.125, 4.546, 6.754 Å; angles 90.00, 102.25, 90.00 degrees
Space group C2/m (No. 12)
One atom of each set of equivalent atoms:
Ac  0.076  0.000  0.269
Ac  0.151  0.500  0.826
Ag  0.235  0.500  0.361
Os  0.000  0.500  0.000

***

No. 6
Crystalline Ac6Ag2Os at its relaxed geometry. Source: Alexandria, functional PBE.

Summary:
- total magnetization (μB/f.u.) = 0.00
- density of states at the Fermi level (states/eV/cell) = 19.86
- VASP energy (eV/atom) = -4.7559

Cell lengths 7.388, 8.171, 13.139 Å; angles 90.00, 121.11, 90.00 degrees
Space group P2_1/c (No. 14)
One atom of each set of equivalent atoms:
Ac  0.106  0.036  0.248
Ac  0.233  0.689  0.066
Ac  0.381  0.186  0.061
Ag  0.322  0.108  0.764
Os  0.000  0.000  0.000

***

What did the fifth record say?
Crystalline Ac4Ag2Os at its relaxed geometry. Source: Alexandria, functional PBE.

Summary:
- total magnetization (μB/f.u.) = 0.00
- density of states at the Fermi level (states/eV/cell) = 10.73
- VASP energy (eV/atom) = -4.9216
- E above lowest polymorph (eV per atom) = 0.0000

Cell lengths 16.125, 4.546, 6.754 Å; angles 90.00, 102.25, 90.00 degrees
Space group C2/m (No. 12)
One atom of each set of equivalent atoms:
Ac  0.076  0.000  0.269
Ac  0.151  0.500  0.826
Ag  0.235  0.500  0.361
Os  0.000  0.500  0.000